CsLaMgO3: optimized geometry, PBE.

Properties
* E_form (uncorrected): -2525 meV per atom
* final energy: -6.233 eV per atom

abc: 8.350 3.759 8.716
angles: 90.00 105.04 90.00
Sites, in units of the cell vectors:
Cs: 0.190 0.250 0.208
Cs: 0.810 0.750 0.792
La: 0.346 0.750 0.850
La: 0.654 0.250 0.150
Mg: 0.086 0.250 0.603
Mg: 0.914 0.750 0.397
O: 0.143 0.750 0.547
O: 0.159 0.250 0.836
O: 0.459 0.750 0.126
O: 0.541 0.250 0.874
O: 0.841 0.750 0.164
O: 0.857 0.250 0.453

ScNi2Ru: optimized geometry, PBE.

Properties
* formation enthalpy at 0 K: -141 meV/atom
* final energy: -6.933 eV per atom

abc: 3.124 3.124 5.729
angles: 90.00 90.00 90.00
Sites, in units of the cell vectors:
Sc: 0.000 0.000 0.000
Ni: 0.000 0.000 0.485
Ni: 0.500 0.500 0.264
Ru: 0.500 0.500 0.700